NaSr2LiZn | PBE | relaxed

Lattice parameters (Å, degrees): 6.2257 6.2257 5.1000 90.00 90.00 90.00
With the nearest neighbours (Å) after each atom.
Space group P4/mmm (No. 123)
Symmetry-distinct sites (fractional):
Na1 0.0000 0.0000 0.0000 [1 per cell]  8 Sr 4.02, 4 Li 4.40
Sr1 0.0000 0.5000 0.5000 [2 per cell]  2 Zn 3.11
Li1 0.5000 0.5000 0.0000 [1 per cell]  2 Zn 2.55
Zn1 0.5000 0.5000 0.5000 [1 per cell]  2 Li 2.55

Calculated values
ΔH_f (0 K) ... 0.0335 eV per atom
Magnetization ... 0.00 μB/f.u.